(1)
A plane-wave DFT calculation with PBE was carried out for a geometry-optimized Be2Tc structure.

Results
Volume in Å³ per cell: 123.8
Total magnetic moment in μB/atom: 0.000
N(E_F) in states/eV/cell: 5.525
SG: Cmcm (63)
Energy relative to the elements in eV/atom: -0.097
Crystal system: orthorhombic

```
Be2Tc
1.0
3.2108 0.0000 0.0000
0.0000 11.8321 0.0000
0.0000 0.0000 3.2582
Be Tc
8 4
direct
0.0000 0.1162 0.2500 Be
0.0000 0.2489 0.7500 Be
0.0000 0.7511 0.2500 Be
0.0000 0.8838 0.7500 Be
0.5000 0.2511 0.2500 Be
0.5000 0.3838 0.7500 Be
0.5000 0.6162 0.2500 Be
0.5000 0.7489 0.7500 Be
0.0000 0.4132 0.2500 Tc
0.0000 0.5868 0.7500 Tc
0.5000 0.0868 0.7500 Tc
0.5000 0.9132 0.2500 Tc
```

(2)
A plane-wave DFT calculation with PBE was carried out for a geometry-optimized Be3Tc structure.

Results
Volume in Å³ per cell: 80.5
Total magnetic moment in μB/atom: 0.180
N(E_F) in states/eV/cell: 4.566
SG: Pm-3n (223)
Energy relative to the elements in eV/atom: 0.166
Crystal system: cubic

```
Be3Tc
1.0
4.3183 0.0000 0.0000
0.0000 4.3183 0.0000
0.0000 0.0000 4.3183
Be Tc
6 2
direct
0.0000 0.2500 0.5000 Be
0.0000 0.7500 0.5000 Be
0.2500 0.5000 0.0000 Be
0.5000 0.0000 0.2500 Be
0.5000 0.0000 0.7500 Be
0.7500 0.5000 0.0000 Be
0.0000 0.0000 0.0000 Tc
0.5000 0.5000 0.5000 Tc
```

(3)
A plane-wave DFT calculation with PBE was carried out for a geometry-optimized Be2Tc structure.

Results
Volume in Å³ per cell: 60.9
Total magnetic moment in μB/atom: 0.000
N(E_F) in states/eV/cell: 2.448
SG: P6_3/mmc (194)
Energy relative to the elements in eV/atom: -0.142
Crystal system: hexagonal

```
Be2Tc
1.0
3.9421 0.0000 0.0000
-1.9711 3.4140 0.0000
0.0000 0.0000 4.5215
Be Tc
4 2
direct
0.0000 0.0000 0.0000 Be
0.0000 0.0000 0.5000 Be
0.3333 0.6667 0.2500 Be
0.6667 0.3333 0.7500 Be
0.3333 0.6667 0.7500 Tc
0.6667 0.3333 0.2500 Tc
```

(4)
A plane-wave DFT calculation with PBE was carried out for a geometry-optimized Be2Tc structure.

Results
Volume in Å³ per cell: 126.0
Total magnetic moment in μB/atom: 0.000
N(E_F) in states/eV/cell: 6.949
SG: C2/m (12)
Energy relative to the elements in eV/atom: -0.034
Crystal system: monoclinic

```
Be2Tc
1.0
8.7639 0.0000 0.0000
0.0000 2.5122 0.0000
-2.1405 0.0000 5.7209
Be Tc
8 4
direct
0.0386 0.0000 0.2427 Be
0.1533 0.5000 0.0269 Be
0.3467 0.0000 0.9731 Be
0.4614 0.5000 0.7573 Be
0.5386 0.5000 0.2427 Be
0.6533 0.0000 0.0269 Be
0.8467 0.5000 0.9731 Be
0.9614 0.0000 0.7573 Be
0.1623 0.5000 0.6305 Tc
0.3377 0.0000 0.3695 Tc
0.6623 0.0000 0.6305 Tc
0.8377 0.5000 0.3695 Tc
```

(5)
A plane-wave DFT calculation with PBE was carried out for a geometry-optimized Be3Tc structure.

Results
Volume in Å³ per cell: 77.1
Total magnetic moment in μB/atom: 0.000
N(E_F) in states/eV/cell: 3.818
SG: P6_3/mmc (194)
Energy relative to the elements in eV/atom: -0.210
Crystal system: hexagonal

```
Be3Tc
1.0
4.7684 0.0000 0.0000
-2.3842 4.1296 0.0000
0.0000 0.0000 3.9132
Be Tc
6 2
direct
0.1624 0.3249 0.2500 Be
0.1624 0.8376 0.2500 Be
0.3249 0.1624 0.7500 Be
0.6751 0.8376 0.2500 Be
0.8376 0.1624 0.7500 Be
0.8376 0.6751 0.7500 Be
0.3333 0.6667 0.7500 Tc
0.6667 0.3333 0.2500 Tc
```

(6)
A plane-wave DFT calculation with PBE was carried out for a geometry-optimized Be2Tc structure.

Results
Volume in Å³ per cell: 124.7
Total magnetic moment in μB/atom: 0.000
N(E_F) in states/eV/cell: 4.052
SG: C2/m (12)
Energy relative to the elements in eV/atom: -0.161
Crystal system: monoclinic

```
Be2Tc
1.0
8.2090 0.0000 0.0000
0.0000 3.2345 0.0000
-1.5416 0.0000 4.6961
Be Tc
8 4
direct
0.0000 0.0000 0.0000 Be
0.0000 0.0000 0.5000 Be
0.1775 0.5000 0.3456 Be
0.3225 0.0000 0.6544 Be
0.5000 0.5000 0.0000 Be
0.5000 0.5000 0.5000 Be
0.6775 0.0000 0.3456 Be
0.8225 0.5000 0.6544 Be
0.1427 0.5000 0.8155 Tc
0.3573 0.0000 0.1845 Tc
0.6427 0.0000 0.8155 Tc
0.8573 0.5000 0.1845 Tc
```

(7)
A plane-wave DFT calculation with PBE was carried out for a geometry-optimized Be3Tc structure.

Results
Volume in Å³ per cell: 40.9
Total magnetic moment in μB/atom: 0.000
N(E_F) in states/eV/cell: 1.255
SG: P2/m (10)
Energy relative to the elements in eV/atom: -0.013
Crystal system: monoclinic

```
Be3Tc
1.0
2.5078 0.0000 0.0000
0.0000 3.7051 0.0000
-0.9703 0.0000 4.4045
Be Tc
3 1
direct
0.0000 0.0000 0.0000 Be
0.1443 0.5000 0.7535 Be
0.8557 0.5000 0.2465 Be
0.5000 0.0000 0.5000 Tc
```

(8)
A plane-wave DFT calculation with PBE was carried out for a geometry-optimized Be2Tc structure.

Results
Volume in Å³ per cell: 118.9
Total magnetic moment in μB/atom: 0.000
N(E_F) in states/eV/cell: 8.187
SG: I4_1/amd (141)
Energy relative to the elements in eV/atom: -0.156
Crystal system: tetragonal

```
Be2Tc
1.0
3.1549 0.0000 0.0000
0.0000 3.1549 0.0000
0.0000 0.0000 11.9451
Be Tc
8 4
direct
0.0000 0.2500 0.2946 Be
0.0000 0.2500 0.4554 Be
0.0000 0.7500 0.5446 Be
0.0000 0.7500 0.7054 Be
0.5000 0.2500 0.0446 Be
0.5000 0.2500 0.2054 Be
0.5000 0.7500 0.7946 Be
0.5000 0.7500 0.9554 Be
0.0000 0.2500 0.8750 Tc
0.0000 0.7500 0.1250 Tc
0.5000 0.2500 0.6250 Tc
0.5000 0.7500 0.3750 Tc
```

(9)
A plane-wave DFT calculation with PBE was carried out for a geometry-optimized BeTc structure.

Results
Volume in Å³ per cell: 55.9
Total magnetic moment in μB/atom: 0.001
N(E_F) in states/eV/cell: 3.933
SG: P6_3/mmc (194)
Energy relative to the elements in eV/atom: 0.806
Crystal system: hexagonal

```
BeTc
1.0
3.8266 0.0000 0.0000
-1.9133 3.3139 0.0000
0.0000 0.0000 4.4071
Be Tc
2 2
direct
0.3333 0.6667 0.2500 Be
0.6667 0.3333 0.7500 Be
0.3333 0.6667 0.7500 Tc
0.6667 0.3333 0.2500 Tc
```

(10)
A plane-wave DFT calculation with PBE was carried out for a geometry-optimized Be2Tc structure.

Results
Volume in Å³ per cell: 123.0
Total magnetic moment in μB/atom: 0.000
N(E_F) in states/eV/cell: 1.122
SG: I4_1/amd (141)
Energy relative to the elements in eV/atom: -0.269
Crystal system: tetragonal

```
Be2Tc
1.0
-1.6682 1.6682 11.0526
1.6682 -1.6682 11.0526
1.6682 1.6682 -11.0526
Be Tc
8 4
direct
0.0365 0.7865 0.2500 Be
0.1236 0.3736 0.7500 Be
0.2135 0.9635 0.2500 Be
0.3736 0.1236 0.2500 Be
0.6264 0.8764 0.7500 Be
0.7865 0.0365 0.7500 Be
0.8764 0.6264 0.2500 Be
0.9635 0.2135 0.7500 Be
0.3023 0.5523 0.7500 Tc
0.4477 0.6977 0.7500 Tc
0.5523 0.3023 0.2500 Tc
0.6977 0.4477 0.2500 Tc
```

(11)
A plane-wave DFT calculation with PBE was carried out for a geometry-optimized BeTc structure.

Results
Volume in Å³ per cell: 46.8
Total magnetic moment in μB/atom: 0.000
N(E_F) in states/eV/cell: 2.587
SG: Immm (71)
Energy relative to the elements in eV/atom: 0.226
Crystal system: orthorhombic

```
BeTc
1.0
2.6193 0.0000 0.0000
0.0000 3.9877 0.0000
0.0000 0.0000 4.4825
Be Tc
2 2
direct
0.0000 0.0000 0.0000 Be
0.5000 0.5000 0.5000 Be
0.0000 0.0000 0.5000 Tc
0.5000 0.5000 0.0000 Tc
```

(12)
A plane-wave DFT calculation with PBE was carried out for a geometry-optimized Be2Tc structure.

Results
Volume in Å³ per cell: 235.4
Total magnetic moment in μB/atom: 0.000
N(E_F) in states/eV/cell: 10.094
SG: P6_3/mmc (194)
Energy relative to the elements in eV/atom: -0.398
Crystal system: hexagonal

```
Be2Tc
1.0
4.3720 0.0000 0.0000
-2.1860 3.7862 0.0000
0.0000 0.0000 14.2191
Be Tc
16 8
direct
0.0000 0.5000 0.0000 Be
0.0000 0.5000 0.5000 Be
0.1637 0.3274 0.2500 Be
0.1637 0.8363 0.2500 Be
0.3274 0.1637 0.7500 Be
0.3333 0.6667 0.1256 Be
0.3333 0.6667 0.3744 Be
0.5000 0.0000 0.0000 Be
0.5000 0.0000 0.5000 Be
0.5000 0.5000 0.0000 Be
0.5000 0.5000 0.5000 Be
0.6667 0.3333 0.6256 Be
0.6667 0.3333 0.8744 Be
0.6726 0.8363 0.2500 Be
0.8363 0.1637 0.7500 Be
0.8363 0.6726 0.7500 Be
0.0000 0.0000 0.0949 Tc
0.0000 0.0000 0.4051 Tc
0.0000 0.0000 0.5949 Tc
0.0000 0.0000 0.9051 Tc
0.3333 0.6667 0.6578 Tc
0.3333 0.6667 0.8422 Tc
0.6667 0.3333 0.1578 Tc
0.6667 0.3333 0.3422 Tc
```